(1)
{"formula": "Sr2TmCoO5", "functional": "PBE with a Hubbard U", "state": "relaxed", "lattice_angstrom": [[-0.9458, -3.1434, -1.0056], [5.5087, -1.2633, 4.6284], [-7.3648, -0.5411, 8.6179]], "species": ["O", "Co", "Co", "Sr", "O", "Sr", "O", "O", "Sr", "Tm", "O", "Sr", "Tm", "O", "O", "O", "O", "O"], "frac_coords": [[0.6475, 0.2950, 0.5068], [0.5582, 0.1163, 0.9167], [0.4418, 0.8837, 0.4167], [0.1433, 0.2866, 0.3362], [0.4949, 0.9898, 0.7780], [0.0884, 0.1768, 0.6498], [0.3120, 0.6240, 0.4152], [0.0431, 0.0862, 0.9995], [0.8567, 0.7134, 0.8362], [0.2063, 0.4125, 0.0483], [0.9569, 0.9138, 0.4995], [0.9116, 0.8232, 0.1498], [0.7937, 0.5875, 0.5483], [0.7153, 0.4306, 0.1734], [0.3525, 0.7050, 0.0068], [0.5051, 0.0102, 0.2780], [0.2847, 0.5694, 0.6734], [0.6880, 0.3760, 0.9152]], "sg": "Cmc2_1", "rho_g_cm3": 5.8, "energy_ev_per_atom": -6.685}


(2)
{"formula": "SrTm2CoO5", "functional": "PBE with a Hubbard U", "state": "relaxed", "lattice_angstrom": [[-4.6893, -4.1933, 1.1374], [1.9957, -0.5924, 6.0442], [-2.0924, 6.6602, -2.0370]], "species": ["Tm", "Sr", "Tm", "O", "O", "O", "O", "Tm", "O", "O", "O", "Co", "Sr", "Tm", "O", "O", "O", "Co"], "frac_coords": [[0.8254, 0.6746, 0.0000], [0.7500, 0.7500, 0.5000], [0.3254, 0.8254, 0.0000], [0.2252, 0.0202, 0.7454], [0.7252, 0.2252, 0.7454], [0.5000, 0.5000, 0.0000], [0.2748, 0.7748, 0.2546], [0.1746, 0.3254, 0.0000], [0.7748, 0.9798, 0.2546], [0.0202, 0.5202, 0.7454], [0.0000, 0.0000, 0.0000], [0.2500, 0.7500, 0.5000], [0.2500, 0.2500, 0.5000], [0.6746, 0.1746, 0.0000], [0.9798, 0.4798, 0.2546], [0.4798, 0.2748, 0.2546], [0.5202, 0.7252, 0.7454], [0.7500, 0.2500, 0.5000]], "sg": "I4/mcm", "rho_g_cm3": 8.1, "energy_ev_per_atom": -7.321}


(3)
{"formula": "Sr3TmCo2O6", "functional": "PBE with a Hubbard U", "state": "relaxed", "lattice_angstrom": [[5.9810, 0.0000, 0.0000], [-2.9905, 5.1797, 0.0000], [0.0000, 0.0000, 6.5904]], "species": ["O", "O", "O", "O", "Tm", "Co", "Sr", "Sr", "Sr", "O", "O", "Co"], "frac_coords": [[0.1672, 0.3345, 0.2976], [0.1672, 0.8328, 0.2976], [0.3345, 0.1672, 0.7024], [0.8328, 0.1672, 0.7024], [0.0000, 0.0000, 0.5000], [0.3333, 0.6667, 0.1774], [0.3333, 0.6667, 0.6333], [0.0000, 0.0000, 0.0000], [0.6667, 0.3333, 0.3667], [0.6655, 0.8328, 0.2976], [0.8328, 0.6655, 0.7024], [0.6667, 0.3333, 0.8226]], "sg": "P-3m1", "rho_g_cm3": 5.3, "energy_ev_per_atom": -6.239}


(4)
{"formula": "Sr2UCoO6", "functional": "PBE with a Hubbard U", "state": "relaxed", "lattice_angstrom": [[-0.8127, -5.7765, 0.7039], [5.2038, -0.4151, 2.6015], [1.5874, 0.9823, 9.8936]], "species": ["O", "Co", "O", "O", "O", "Sr", "U", "U", "O", "Co", "Sr", "O", "O", "O", "O", "O", "Sr", "O", "Sr", "O"], "frac_coords": [[0.0204, 0.1704, 0.2528], [0.0000, 0.5000, 0.0000], [0.7821, 0.2527, 0.9576], [0.2179, 0.7473, 0.0424], [0.4796, 0.1704, 0.7528], [0.0367, 0.2625, 0.7473], [0.5000, 0.0000, 0.0000], [0.0000, 0.0000, 0.5000], [0.7179, 0.2527, 0.4576], [0.5000, 0.5000, 0.5000], [0.5367, 0.7375, 0.7527], [0.5204, 0.8296, 0.2472], [0.2895, 0.3236, 0.9614], [0.7895, 0.6764, 0.5386], [0.9796, 0.8296, 0.7472], [0.2105, 0.3236, 0.4614], [0.4633, 0.2625, 0.2473], [0.7105, 0.6764, 0.0386], [0.9633, 0.7375, 0.2527], [0.2821, 0.7473, 0.5424]], "sg": "P2_1/c", "rho_g_cm3": 6.7, "e_above_lowest_polymorph_mev_per_atom": 0}


(5)
{"formula": "SrUCoO6", "functional": "PBE with a Hubbard U", "state": "relaxed", "lattice_angstrom": [[-1.6971, -3.4206, -3.2547], [4.7099, -1.4700, -0.9108], [-0.6734, -6.8093, 7.5075]], "species": ["O", "Co", "O", "Sr", "Co", "O", "O", "O", "Sr", "O", "U", "O", "O", "U", "O", "O", "O", "O"], "frac_coords": [[0.7660, 0.2340, 0.8071], [0.0000, 0.0000, 0.3416], [0.7768, 0.2232, 0.1900], [0.0000, 0.0000, 0.0059], [0.5000, 0.5000, 0.8416], [0.7340, 0.7340, 0.3071], [0.2660, 0.2660, 0.3071], [0.2340, 0.7660, 0.8071], [0.5000, 0.5000, 0.5059], [0.6655, 0.6655, 0.9933], [0.0000, 0.0000, 0.6716], [0.2232, 0.7768, 0.1900], [0.2768, 0.2768, 0.6900], [0.5000, 0.5000, 0.1716], [0.3345, 0.3345, 0.9933], [0.1655, 0.8345, 0.4933], [0.7232, 0.7232, 0.6900], [0.8345, 0.1655, 0.4933]], "sg": "P4_2nm", "rho_g_cm3": 6.2, "energy_ev_per_atom": -7.453}


(6)
{"formula": "SrUCoO5", "functional": "PBE with a Hubbard U", "state": "relaxed", "lattice_angstrom": [[-2.0643, 4.7563, 3.1174], [-4.2327, -1.4089, -4.0866], [-0.1432, -6.0841, 5.2499]], "species": ["U", "O", "O", "O", "O", "O", "O", "O", "Co", "Co", "U", "O", "Sr", "Sr", "O", "O"], "frac_coords": [[0.0000, 0.0000, 0.0000], [0.3519, 0.2527, 0.0921], [0.2527, 0.3519, 0.5921], [0.1026, 0.7037, 0.8999], [0.8974, 0.2963, 0.1001], [0.2963, 0.8974, 0.6001], [0.6481, 0.7473, 0.9079], [0.0755, 0.9245, 0.2500], [0.3131, 0.6869, 0.7500], [0.6869, 0.3131, 0.2500], [0.0000, 0.0000, 0.5000], [0.7037, 0.1026, 0.3999], [0.3303, 0.6697, 0.2500], [0.6697, 0.3303, 0.7500], [0.9245, 0.0755, 0.7500], [0.7473, 0.6481, 0.4079]], "sg": "C2/c", "rho_g_cm3": 6.1, "energy_ev_per_atom": -8.004}


(7)
{"formula": "Sr2UCo3O12", "functional": "PBE with a Hubbard U", "state": "relaxed", "lattice_angstrom": [[-5.7876, 0.5756, 3.7118], [-5.1364, -4.5496, -0.7239], [-1.4581, -4.5182, 5.0065]], "species": ["Sr", "O", "O", "Co", "U", "O", "O", "O", "Co", "O", "Sr", "O", "O", "O", "O", "O", "O", "Co"], "frac_coords": [[0.3923, 0.3923, 0.3923], [0.6895, 0.1056, 0.6895], [0.1029, 0.1029, 0.6270], [0.5000, 0.0000, 0.0000], [0.0000, 0.0000, 0.0000], [0.3105, 0.8944, 0.3105], [0.3105, 0.3105, 0.8944], [0.1056, 0.6895, 0.6895], [0.0000, 0.0000, 0.5000], [0.8971, 0.8971, 0.3730], [0.6077, 0.6077, 0.6077], [0.1029, 0.6270, 0.1029], [0.6270, 0.1029, 0.1029], [0.3730, 0.8971, 0.8971], [0.8971, 0.3730, 0.8971], [0.8944, 0.3105, 0.3105], [0.6895, 0.6895, 0.1056], [0.0000, 0.5000, 0.0000]], "sg": "R-3m", "rho_g_cm3": 5.7, "energy_ev_per_atom": -6.504}


(8)
{"formula": "Sr2UCoO6", "functional": "PBE with a Hubbard U", "state": "relaxed", "lattice_angstrom": [[5.8743, 0.0000, -0.3470], [0.0000, 5.8112, 0.0000], [-2.7579, -2.9056, 4.3116]], "species": ["O", "Sr", "U", "O", "O", "Sr", "O", "O", "Co", "O"], "frac_coords": [[0.6718, 0.2552, 0.5103], [0.7600, 0.7460, 0.4921], [0.0000, 0.5000, 0.0000], [0.7965, 0.2972, 0.0915], [0.2035, 0.2057, 0.9085], [0.2400, 0.2540, 0.5079], [0.2035, 0.7028, 0.9085], [0.3282, 0.7448, 0.4897], [0.5000, 0.0000, 0.0000], [0.7965, 0.7943, 0.0915]], "sg": "C2/m", "rho_g_cm3": 6.7, "e_above_lowest_polymorph_mev_per_atom": 6}


(9)
{"formula": "Sr2VCoO5", "functional": "PBE with a Hubbard U", "state": "relaxed", "lattice_angstrom": [[-0.4347, -2.7385, -2.0640], [6.8177, -0.6946, 2.3800], [-3.2061, -5.2567, 7.6499]], "species": ["O", "O", "Sr", "O", "V", "Sr", "O", "Sr", "V", "O", "O", "Co", "Co", "O", "Sr", "O", "O", "O"], "frac_coords": [[0.0670, 0.1339, 0.0280], [0.9330, 0.8661, 0.5280], [0.8781, 0.7561, 0.1979], [0.2901, 0.5801, 0.3686], [0.2110, 0.4221, 0.0010], [0.8860, 0.7720, 0.8099], [0.5115, 0.0230, 0.8044], [0.1219, 0.2439, 0.6979], [0.7890, 0.5779, 0.5010], [0.6614, 0.3229, 0.5144], [0.6902, 0.3803, 0.1254], [0.5810, 0.1620, 0.9745], [0.4190, 0.8380, 0.4745], [0.7099, 0.4199, 0.8686], [0.1140, 0.2280, 0.3100], [0.4885, 0.9770, 0.3044], [0.3386, 0.6771, 0.0144], [0.3098, 0.6197, 0.6254]], "sg": "Cmc2_1", "rho_g_cm3": 5.1, "energy_ev_per_atom": -6.545}


(10)
{"formula": "SrVCoO6", "functional": "PBE with a Hubbard U", "state": "relaxed", "lattice_angstrom": [[5.0172, 0.0223, 0.0102], [2.5280, 4.3342, -0.0105], [0.0118, -0.0210, 5.3937]], "species": ["O", "Sr", "Co", "O", "O", "O", "O", "V", "O"], "frac_coords": [[0.9991, 0.3890, 0.3033], [0.0014, 0.0014, 0.0001], [0.3376, 0.3375, 0.4998], [0.3886, 0.9993, 0.6965], [0.3874, 0.6061, 0.3027], [0.6056, 0.0067, 0.3037], [0.0067, 0.6058, 0.6963], [0.6671, 0.6670, 0.5003], [0.6062, 0.3873, 0.6972]], "sg": "C2", "rho_g_cm3": 4.2, "energy_ev_per_atom": -6.503}


(11)
{"formula": "Sr2CoWO6", "functional": "PBE with a Hubbard U", "state": "relaxed", "lattice_angstrom": [[5.6999, -0.0545, 0.0062], [-0.0436, 5.6922, -0.0013], [-2.8194, -2.8223, 3.9907]], "species": ["Sr", "O", "O", "W", "Sr", "O", "O", "Co", "O", "O"], "frac_coords": [[0.7522, 0.2513, 0.5017], [0.7848, 0.7842, 0.0886], [0.7410, 0.2599, 0.0014], [0.5000, 0.5000, 0.0000], [0.2478, 0.7487, 0.4983], [0.3044, 0.3030, 0.5188], [0.2590, 0.7401, 0.9986], [0.0000, 0.0000, 0.0000], [0.2152, 0.2158, 0.9114], [0.6955, 0.6970, 0.4812]], "sg": "P-1", "rho_g_cm3": 6.6, "energy_ev_per_atom": -6.885}


(12)
{"formula": "SrCoWO6", "functional": "PBE with a Hubbard U", "state": "relaxed", "lattice_angstrom": [[-1.2926, -0.4183, -4.9251], [-0.7499, -4.6220, -2.0438], [-5.2565, 0.2278, 1.3759]], "species": ["O", "Co", "O", "Sr", "O", "O", "O", "O", "W"], "frac_coords": [[0.6177, 0.3890, 0.6999], [0.6684, 0.6685, 0.5000], [0.3857, 0.9942, 0.7003], [0.9997, 0.9997, 0.0000], [0.6208, 0.9914, 0.3019], [0.9942, 0.3857, 0.2997], [0.9914, 0.6209, 0.6981], [0.3890, 0.6177, 0.3000], [0.3329, 0.3329, 0.5000]], "sg": "C2", "rho_g_cm3": 5.7, "energy_ev_per_atom": -6.736}


(13)
{"formula": "Sr2CoWO6", "functional": "PBE with a Hubbard U", "state": "relaxed", "lattice_angstrom": [[5.6918, 0.0000, 0.0000], [0.0000, 5.6830, -0.0014], [0.0000, 5.6944, 8.0231]], "species": ["Sr", "W", "O", "O", "O", "W", "O", "O", "Sr", "O", "O", "Sr", "O", "O", "O", "Sr", "O", "O", "Co", "Co"], "frac_coords": [[0.5241, 0.7543, 0.7497], [0.5000, 0.5000, 0.5000], [0.7675, 0.2576, 0.5308], [0.2325, 0.7424, 0.4692], [0.2137, 0.2044, 0.0291], [0.0000, 0.5000, 0.0000], [0.0095, 0.3174, 0.2400], [0.7137, 0.7956, 0.4709], [0.0241, 0.2457, 0.7503], [0.7325, 0.2576, 0.0308], [0.4905, 0.3174, 0.7400], [0.4759, 0.2457, 0.2503], [0.2863, 0.2044, 0.5291], [0.2675, 0.7424, 0.9692], [0.5095, 0.6826, 0.2600], [0.9759, 0.7543, 0.2497], [0.9905, 0.6826, 0.7600], [0.7863, 0.7956, 0.9709], [0.0000, 0.0000, 0.5000], [0.5000, 0.0000, 0.0000]], "sg": "P2_1/c", "rho_g_cm3": 6.6, "energy_ev_per_atom": -6.889}


(14)
{"formula": "Sr3YCo2O8", "functional": "PBE with a Hubbard U", "state": "relaxed", "lattice_angstrom": [[-0.4007, 5.0066, -4.6646], [-1.0173, -6.7756, -0.2033], [-5.1253, 0.7327, 1.2267]], "species": ["Sr", "Co", "Sr", "O", "Sr", "O", "O", "O", "O", "O", "Y", "O", "Co", "O"], "frac_coords": [[0.8540, 0.1460, 0.5000], [0.0004, 0.9996, 0.0000], [0.6477, 0.3523, 0.0000], [0.8444, 0.1556, 0.0000], [0.3548, 0.6452, 0.0000], [0.2470, 0.2358, 0.2550], [0.3137, 0.6863, 0.5000], [0.7642, 0.7530, 0.2550], [0.6626, 0.3374, 0.5000], [0.1587, 0.8413, 0.0000], [0.1379, 0.8621, 0.5000], [0.2470, 0.2358, 0.7450], [0.5033, 0.4967, 0.5000], [0.7642, 0.7530, 0.7450]], "sg": "Amm2", "rho_g_cm3": 5.5, "energy_ev_per_atom": -6.565}


(15)
{"formula": "SrYCoO4", "functional": "PBE with a Hubbard U", "state": "relaxed", "lattice_angstrom": [[6.7174, 0.0048, 0.0000], [4.5841, 4.9101, 0.0000], [-5.6508, -2.4574, 2.6745]], "species": ["O", "Y", "Sr", "O", "O", "O", "Co"], "frac_coords": [[0.8372, 0.8372, 0.0000], [0.3611, 0.3611, 0.0000], [0.6448, 0.6448, 0.0000], [0.9878, 0.4878, 0.5000], [0.1801, 0.1801, 0.0000], [0.4878, 0.9878, 0.5000], [0.0012, 0.0012, 0.0000]], "sg": "I4mm", "rho_g_cm3": 5.6, "e_above_lowest_polymorph_mev_per_atom": 23}


(16)
{"formula": "SrYCoO4", "functional": "PBE with a Hubbard U", "state": "relaxed", "lattice_angstrom": [[-4.5005, -2.8412, 0.9043], [-0.4898, -0.6341, -5.3412], [8.5945, -9.0988, -2.4804]], "species": ["O", "O", "O", "O", "O", "Co", "O", "Sr", "Y", "Sr", "O", "O", "O", "Sr", "Y", "Y", "O", "Co", "Co", "O", "O", "O", "Y", "O", "Co", "O", "Sr", "O"], "frac_coords": [[0.3615, 0.1398, 0.6812], [0.9976, 0.4995, 0.5080], [0.1193, 0.3780, 0.3347], [0.7370, 0.7654, 0.9747], [0.0837, 0.9081, 0.1804], [0.7498, 0.7500, 0.4997], [0.3804, 0.5401, 0.8411], [0.0676, 0.4315, 0.1426], [0.1620, 0.7940, 0.3632], [0.5732, 0.9259, 0.1453], [0.9660, 0.1345, 0.8338], [0.2446, 0.7509, 0.9850], [0.4941, 0.5025, 0.4917], [0.3271, 0.6787, 0.6460], [0.7058, 0.3408, 0.3606], [0.9485, 0.5468, 0.8598], [0.2546, 0.2424, 0.0102], [0.2548, 0.2449, 0.5019], [0.4972, 0.4993, 0.9995], [0.8210, 0.6806, 0.6749], [0.7373, 0.2637, 0.9853], [0.0009, 0.0021, 0.4914], [0.4087, 0.0870, 0.8623], [0.4917, 0.0126, 0.4656], [0.9987, 0.9987, 0.0019], [0.7079, 0.7888, 0.3418], [0.8182, 0.1722, 0.6432], [0.5909, 0.4211, 0.1741]], "sg": "P1", "rho_g_cm3": 5.6, "e_above_lowest_polymorph_mev_per_atom": 0}


(17)
{"formula": "SrYCoO4", "functional": "PBE with a Hubbard U", "state": "relaxed", "lattice_angstrom": [[-1.1393, -0.0253, 5.2211], [1.8076, 6.0336, -2.3134], [-10.4564, 2.2565, -2.3721]], "species": ["O", "Co", "O", "Y", "O", "O", "Y", "O", "Co", "O", "O", "Co", "O", "Y", "O", "O", "Sr", "Y", "Sr", "Sr", "O", "Co", "Sr", "O", "O", "O", "O", "O"], "frac_coords": [[0.7767, 0.0316, 0.8754], [0.9999, 0.0004, 0.4991], [0.1969, 0.3282, 0.5338], [0.1297, 0.2768, 0.7374], [0.6982, 0.3239, 0.7209], [0.3223, 0.6411, 0.7639], [0.1543, 0.2822, 0.2381], [0.3108, 0.6332, 0.2686], [0.4986, 0.0046, 0.2507], [0.7802, 0.0727, 0.3743], [0.8177, 0.6365, 0.4872], [0.5053, 0.0003, 0.7508], [0.6205, 0.3354, 0.2116], [0.6600, 0.2831, 0.0112], [0.2521, 0.9928, 0.6288], [0.2939, 0.0702, 0.8746], [0.3585, 0.7090, 0.9955], [0.6231, 0.2763, 0.5129], [0.8509, 0.7113, 0.2563], [0.8579, 0.7085, 0.7511], [0.7474, 0.9906, 0.6251], [0.0022, 0.9984, 0.0012], [0.3532, 0.7092, 0.4970], [0.7359, 0.9911, 0.1285], [0.2714, 0.0414, 0.3728], [0.8203, 0.6398, 0.9814], [0.1269, 0.3292, 0.0313], [0.2349, 0.9825, 0.1205]], "sg": "P1", "rho_g_cm3": 5.5, "e_above_lowest_polymorph_mev_per_atom": 4}